NdPaSi2Pt2 after structural relaxation, computed with GGA-PBE.

a = 4.232 Å, b = 4.232 Å, c = 7.983 Å
α = 90.00°, β = 90.00°, γ = 120.00°
Fractional positions:
1 Nd 0.000 0.000 0.000
2 Pa 0.000 0.000 0.500
3 Si 0.667 0.333 0.252
4 Si 0.333 0.667 0.748
5 Pt 0.667 0.333 0.723
6 Pt 0.333 0.667 0.277

Total magnetic moment   0.000 Bohr magnetons per cell
Calculated total energy   -7.26 eV per atom

***

NaS2N2 after structural relaxation, computed with GGA-PBE.

a = 4.140 Å, b = 4.140 Å, c = 4.190 Å
α = 90.00°, β = 90.00°, γ = 90.00°
Site moments in Bohr magnetons follow the coordinates.
Fractional positions:
1 Na 0.500 0.500 0.500  0.00
2 S 0.000 0.500 0.000  0.24
3 S 0.500 0.000 0.000  0.24
4 N 0.000 0.000 0.000  -0.17
5 N 0.000 0.000 0.500  1.36

Total magnetic moment   2.457 Bohr magnetons per cell
Calculated total energy   -3.81 eV per atom

***

Pr3Nd4Er after structural relaxation, computed with GGA-PBE.

a = 7.343 Å, b = 7.334 Å, c = 10.377 Å
α = 90.00°, β = 90.00°, γ = 90.00°
Fractional positions:
1 Pr 0.000 0.310 0.000
2 Pr 0.253 0.061 0.750
3 Pr 0.747 0.561 0.750
4 Pr 0.000 0.810 0.500
5 Pr 0.747 0.561 0.250
6 Pr 0.253 0.061 0.250
7 Nd 0.000 0.811 0.000
8 Nd 0.500 0.310 0.000
9 Nd 0.747 0.061 0.750
10 Nd 0.253 0.561 0.750
11 Nd 0.500 0.810 0.500
12 Nd 0.000 0.311 0.500
13 Nd 0.253 0.561 0.250
14 Nd 0.747 0.061 0.250
15 Er 0.500 0.811 0.000
16 Er 0.500 0.311 0.500

ΔE_f   12 meV/atom
Total magnetic moment   0.000 Bohr magnetons per cell
Calculated total energy   -4.73 eV per atom

***

CdBCl after structural relaxation, computed with GGA-PBE.

a = 6.059 Å, b = 4.366 Å, c = 6.075 Å
α = 90.00°, β = 117.98°, γ = 90.00°
Fractional positions:
1 B 0.931 0.500 0.184
2 B 0.192 0.500 0.183
3 Cl 0.386 0.000 0.810
4 Cl 0.898 0.500 0.838
5 Cd 0.553 0.500 0.166
6 Cd 0.136 0.000 0.335

Total magnetic moment   0.000 Bohr magnetons per cell
Calculated total energy   -3.09 eV per atom

***

Mn2RhW2 after structural relaxation, computed with GGA-PBE.

a = 6.898 Å, b = 6.898 Å, c = 2.930 Å
α = 90.00°, β = 90.00°, γ = 90.00°
Site moments in Bohr magnetons follow the coordinates.
Fractional positions:
1 Mn 0.370 0.870 0.000  0.94
2 Mn 0.870 0.630 0.000  0.94
3 Mn 0.630 0.130 0.000  0.94
4 Mn 0.130 0.370 0.000  0.94
5 Rh 0.000 0.000 0.000  0.13
6 Rh 0.500 0.500 0.000  0.13
7 W 0.172 0.672 0.500  -0.15
8 W 0.672 0.828 0.500  -0.14
9 W 0.828 0.328 0.500  -0.15
10 W 0.328 0.172 0.500  -0.14

ΔE_f   192 meV/atom
Total magnetic moment   3.558 Bohr magnetons per cell
Calculated total energy   -10.13 eV per atom

***

Pm3Sm6Ho2Pu after structural relaxation, computed with GGA-PBE.

a = 6.243 Å, b = 6.243 Å, c = 11.895 Å
α = 95.05°, β = 95.05°, γ = 120.04°
Site moments in Bohr magnetons follow the coordinates.
Fractional positions:
1 Pm 0.167 0.833 0.500  -0.01
2 Pm 0.833 0.167 0.500  -0.01
3 Pm 0.500 0.500 0.500  -0.01
4 Sm 0.919 0.589 0.755  0.03
5 Sm 0.752 0.752 0.245  0.03
6 Sm 0.081 0.411 0.245  0.03
7 Sm 0.589 0.919 0.755  0.03
8 Sm 0.248 0.248 0.755  0.03
9 Sm 0.411 0.081 0.245  0.03
10 Ho 0.334 0.666 0.000  0.14
11 Ho 0.666 0.334 0.000  0.14
12 Pu 0.000 0.000 0.000  5.60

ΔE_f   49 meV/atom
Total magnetic moment   6.740 Bohr magnetons per cell
Calculated total energy   -5.46 eV per atom

***

Zr2Mn3Re after structural relaxation, computed with GGA-PBE.

a = 5.137 Å, b = 5.137 Å, c = 5.028 Å
α = 89.99°, β = 120.72°, γ = 120.01°
Site moments in Bohr magnetons follow the coordinates.
Fractional positions:
1 Zr 0.750 0.375 0.124  -0.28
2 Zr 0.250 0.625 0.876  -0.28
3 Mn 0.500 0.500 0.500  1.44
4 Mn 0.000 0.000 0.500  1.44
5 Mn 0.500 0.000 0.500  1.43
6 Re 0.000 0.000 0.000  -0.24

ΔE_f   -256 meV/atom
Total magnetic moment   3.309 Bohr magnetons per cell
Calculated total energy   -9.77 eV per atom

***

ZrInC3 after structural relaxation, computed with GGA-PBE.

a = 4.405 Å, b = 4.405 Å, c = 4.405 Å
α = 90.00°, β = 90.00°, γ = 90.00°
Fractional positions:
1 C 0.000 0.500 0.000
2 C 0.000 0.000 0.500
3 C 0.500 0.000 0.000
4 Zr 0.000 0.000 0.000
5 In 0.500 0.500 0.500

ΔE_f   1967 meV/atom
Total magnetic moment   0.000 Bohr magnetons per cell
Calculated total energy   -5.82 eV per atom

***

What is the formula in the first record? NdPaSi2Pt2

***

Which formula does entry 6 have? Pm3Sm6Ho2Pu